Compound: Rb2VBr6O
Source: Alexandria
Functional: GGA+U
Structure: optimized geometry

POSCAR file:
```
Rb2VBr6O
1.0
-5.2555 4.0003 3.4195
-4.5770 -1.0892 -5.7602
-6.9163 -3.2991 1.3179
Br O V Rb
6 1 1 2
direct
0.2391 0.7609 0.0000
0.2186 0.2186 0.5628
0.7814 0.7814 0.4372
0.2391 0.2391 0.0000
0.7609 0.2391 0.0000
0.7609 0.7609 0.0000
0.5000 0.5000 0.0000
0.0000 0.0000 0.0000
0.7500 0.2500 0.5000
0.2500 0.7500 0.5000
```

Summary:
**Fermi-level density of states**: 12.94 states/eV per cell
**Energy**: -3.1135 eV per atom